A relaxed structure of YMgTc2Te, computed with GGA-PBEsol.

Cell and atoms, written as CIF:
```
data_YMgTc2Te
_cell_length_a 4.6224
_cell_length_b 4.6224
_cell_length_c 5.1951
_cell_angle_alpha 90.00
_cell_angle_beta 90.00
_cell_angle_gamma 90.00
_space_group_name_H-M_alt 'P 1'
_space_group_IT_number 1
loop_
_space_group_symop_operation_xyz
'x,y,z'
loop_
_atom_site_label
_atom_site_type_symbol
_atom_site_fract_x
_atom_site_fract_y
_atom_site_fract_z
Y1 Y 0.0000 0.0000 0.0000
Mg1 Mg 0.0000 0.0000 0.5000
Tc1 Tc 0.0000 0.5000 0.5000
Tc2 Tc 0.5000 0.0000 0.5000
Te1 Te 0.5000 0.5000 0.0000
```

Output
Energy relative to the elements, uncorrected (eV per atom): 1.336



A relaxed structure of Mg3TiTc, computed with GGA-PBEsol.

Cell and atoms, written as CIF:
```
data_Mg3TiTc
_cell_length_a 4.9310
_cell_length_b 4.9310
_cell_length_c 4.9310
_cell_angle_alpha 90.00
_cell_angle_beta 90.00
_cell_angle_gamma 90.00
_space_group_name_H-M_alt 'P 1'
_space_group_IT_number 1
loop_
_space_group_symop_operation_xyz
'x,y,z'
loop_
_atom_site_label
_atom_site_type_symbol
_atom_site_fract_x
_atom_site_fract_y
_atom_site_fract_z
Mg1 Mg 0.0000 0.0000 0.5000
Mg2 Mg 0.0000 0.5000 0.0000
Mg3 Mg 0.5000 0.0000 0.0000
Ti1 Ti 0.0000 0.0000 0.0000
Tc1 Tc 0.5000 0.5000 0.5000
```

Output
ΔE_f (eV/f.u.): 9.10



A relaxed structure of Mg2TlTc, computed with GGA-PBEsol.

Cell and atoms, written as CIF:
```
data_Mg2TlTc
_cell_length_a 4.6553
_cell_length_b 4.6553
_cell_length_c 4.6553
_cell_angle_alpha 60.00
_cell_angle_beta 60.00
_cell_angle_gamma 60.00
_space_group_name_H-M_alt 'P 1'
_space_group_IT_number 1
loop_
_space_group_symop_operation_xyz
'x,y,z'
loop_
_atom_site_label
_atom_site_type_symbol
_atom_site_fract_x
_atom_site_fract_y
_atom_site_fract_z
Mg1 Mg 0.2500 0.2500 0.2500
Mg2 Mg 0.7500 0.7500 0.7500
Tl1 Tl 0.0000 0.0000 0.0000
Tc1 Tc 0.5000 0.5000 0.5000
```

Output
Polymorph energy (0 for the lowest one) (meV per atom): 130.8
ΔE_f (eV/f.u.): 1.67



A relaxed structure of Mg2TlTc, computed with GGA-PBEsol.

Cell and atoms, written as CIF:
```
data_Mg2TlTc
_cell_length_a 2.8682
_cell_length_b 4.8447
_cell_length_c 5.2931
_cell_angle_alpha 90.00
_cell_angle_beta 90.00
_cell_angle_gamma 90.00
_space_group_name_H-M_alt 'P 1'
_space_group_IT_number 1
loop_
_space_group_symop_operation_xyz
'x,y,z'
loop_
_atom_site_label
_atom_site_type_symbol
_atom_site_fract_x
_atom_site_fract_y
_atom_site_fract_z
Mg1 Mg 0.0000 0.0000 0.0000
Mg2 Mg 0.0000 0.5000 0.3216
Tl1 Tl 0.5000 0.0000 0.5247
Tc1 Tc 0.5000 0.5000 0.8346
```

Output
Polymorph energy (0 for the lowest one) (meV per atom): 0.0
ΔE_f (eV/f.u.): 1.15



A relaxed structure of Mg2TlTc, computed with GGA-PBEsol.

Cell and atoms, written as CIF:
```
data_Mg2TlTc
_cell_length_a 5.2148
_cell_length_b 5.2148
_cell_length_c 2.9222
_cell_angle_alpha 90.15
_cell_angle_beta 90.15
_cell_angle_gamma 112.84
_space_group_name_H-M_alt 'P 1'
_space_group_IT_number 1
loop_
_space_group_symop_operation_xyz
'x,y,z'
loop_
_atom_site_label
_atom_site_type_symbol
_atom_site_fract_x
_atom_site_fract_y
_atom_site_fract_z
Mg1 Mg 0.0000 0.5000 0.0000
Mg2 Mg 0.5000 0.0000 0.0000
Tl1 Tl 0.0000 0.0000 0.5000
Tc1 Tc 0.5000 0.5000 0.5000
```

Output
Polymorph energy (0 for the lowest one) (meV per atom): 22.5
ΔE_f (eV/f.u.): 1.24



A relaxed structure of Tm2MgTc, computed with GGA-PBEsol.

Cell and atoms, written as CIF:
```
data_Tm2MgTc
_cell_length_a 4.8994
_cell_length_b 4.8994
_cell_length_c 4.8994
_cell_angle_alpha 60.00
_cell_angle_beta 60.00
_cell_angle_gamma 60.00
_space_group_name_H-M_alt 'P 1'
_space_group_IT_number 1
loop_
_space_group_symop_operation_xyz
'x,y,z'
loop_
_atom_site_label
_atom_site_type_symbol
_atom_site_fract_x
_atom_site_fract_y
_atom_site_fract_z
Tm1 Tm 0.2500 0.2500 0.2500
Tm2 Tm 0.7500 0.7500 0.7500
Mg1 Mg 0.0000 0.0000 0.0000
Tc1 Tc 0.5000 0.5000 0.5000
```

Output
ΔE_f (eV/f.u.): -0.05



A relaxed structure of MgTcW2, computed with GGA-PBEsol.

Cell and atoms, written as CIF:
```
data_MgTcW2
_cell_length_a 2.6275
_cell_length_b 4.3381
_cell_length_c 5.4756
_cell_angle_alpha 90.00
_cell_angle_beta 90.00
_cell_angle_gamma 90.00
_space_group_name_H-M_alt 'P 1'
_space_group_IT_number 1
loop_
_space_group_symop_operation_xyz
'x,y,z'
loop_
_atom_site_label
_atom_site_type_symbol
_atom_site_fract_x
_atom_site_fract_y
_atom_site_fract_z
Mg1 Mg 0.0000 0.0000 0.0000
Tc1 Tc 0.5000 0.5000 0.2336
W1 W 0.0000 0.0000 0.4969
W2 W 0.5000 0.5000 0.7466
```

Output
ΔE_f (eV/f.u.): 1.79



A relaxed structure of MgTcW2, computed with GGA-PBEsol.

Cell and atoms, written as CIF:
```
data_MgTcW2
_cell_length_a 5.2207
_cell_length_b 5.2207
_cell_length_c 5.2207
_cell_angle_alpha 145.57
_cell_angle_beta 128.66
_cell_angle_gamma 63.28
_space_group_name_H-M_alt 'P 1'
_space_group_IT_number 1
loop_
_space_group_symop_operation_xyz
'x,y,z'
loop_
_atom_site_label
_atom_site_type_symbol
_atom_site_fract_x
_atom_site_fract_y
_atom_site_fract_z
Mg1 Mg 0.0000 0.0000 0.0000
Tc1 Tc 0.2577 0.7577 0.5000
W1 W 0.4903 0.4903 0.0000
W2 W 0.7308 0.2308 0.5000
```

Output
ΔE_f (eV/f.u.): 1.28